[1]
SmPaSi3: relaxed, PBE.

Cell and atoms, written as extended XYZ:
```
10
Lattice="4.0400 0.0000 0.0000 0.0000 4.0600 -0.7763 0.0000 0.2823 12.4815" Properties=species:S:1:pos:R:3 pbc="T T T"
Sm 1.0100 0.3234 1.6913
Sm 3.0300 4.0189 10.0139
Pa 1.0100 3.3954 6.7528
Pa 3.0300 0.9469 4.9524
Si 1.0100 1.7537 9.1718
Si 3.0300 2.5886 2.5334
Si 1.0100 2.1990 11.5010
Si 3.0300 2.1433 0.2042
Si 3.0300 1.4890 7.7875
Si 1.0100 2.8533 3.9177
```

Computed properties:
**E_tot**: -6.655 eV per atom
**Energy relative to the elements, uncorrected**: -558 meV per atom
**Total magnetization**: 0.000 μB/atom


[2]
SmPaZnSi: relaxed, PBE.

Cell and atoms, written as extended XYZ:
```
4
Lattice="5.0260 0.0000 0.0000 2.5130 4.3527 0.0000 2.5130 1.4509 4.1037" Properties=species:S:1:pos:R:3 pbc="T T T"
Zn 2.5130 1.4509 1.0259
Pa 0.0000 0.0000 0.0000
Si 7.5390 4.3527 3.0778
Sm 5.0260 2.9018 2.0519
```

Computed properties:
**E_tot**: -5.396 eV per atom
**Energy relative to the elements, uncorrected**: -168 meV per atom
**Total magnetization**: 0.304 μB/atom


V, record by record: 20.56, 22.44 Å³ per atom